Entry 1:
A plane-wave DFT calculation with PBE-GGA was carried out for a geometry-optimized Ca2CrIrRh structure.

Cell lengths 5.2332, 4.5863, 5.2332 Å; angles 90.00, 90.00, 90.00 degrees
Last column: nearest neighbours and their distance in Å.
Fractional positions:
Cr  0.0000  0.5000  0.0000  2 Rh 2.29
Ca  0.0000  0.0000  0.5000  2 Rh 2.62
Ca  0.5000  0.0000  0.0000  2 Rh 2.62
Ir  0.5000  0.5000  0.5000  8 Ca 3.48, 4 Cr 3.70
Rh  0.0000  0.0000  0.0000  2 Cr 2.29

**Formation enthalpy at 0 K**: 65.5 kJ per mole of atoms
**Energy**: -26.44 eV for the cell shown
**Crystal system**: tetragonal

***

Entry 2:
A plane-wave DFT calculation with PBE-GGA was carried out for a geometry-optimized SrLa2Pd structure.

Cell lengths 3.7859, 3.7859, 9.9667 Å; angles 90.00, 90.00, 90.00 degrees
Last column: nearest neighbours and their distance in Å.
Fractional positions:
Sr  0.5000  0.5000  0.5000  4 Sr 3.79
Pd  0.5000  0.5000  0.0000  8 La 3.14
La  0.0000  0.0000  0.8355  4 Pd 3.14, 1 La 3.28
La  0.0000  0.0000  0.1645  4 Pd 3.14, 1 La 3.28

**Formation enthalpy at 0 K**: -29.0 kJ per mole of atoms
**Energy**: -17.93 eV for the cell shown
**Polymorph energy (0 for the lowest one)**: 41 meV/atom
**Crystal system**: tetragonal

***

Entry 3:
A plane-wave DFT calculation with PBE-GGA was carried out for a geometry-optimized NiPdN2 structure.

Cell lengths 6.0387, 6.0387, 6.0387 Å; angles 29.29, 29.29, 29.29 degrees
Last column: nearest neighbours and their distance in Å.
Fractional positions:
Ni  0.0000  0.0000  0.0000  2 N 1.77
Pd  0.5000  0.5000  0.5000  6 N 2.09
N  0.8980  0.8980  0.8980  1 Ni 1.77
N  0.1020  0.1020  0.1020  1 Ni 1.77

**Energy**: -24.09 eV for the cell shown
**Polymorph energy (0 for the lowest one)**: 281 meV/atom
**Crystal system**: trigonal

***

Entry 4:
A plane-wave DFT calculation with PBE-GGA was carried out for a geometry-optimized BaCaSe2 structure.

Cell lengths 4.4144, 4.4144, 14.8972 Å; angles 90.00, 90.00, 120.00 degrees
Last column: nearest neighbours and their distance in Å.
Fractional positions:
Ba  0.6667  0.3333  0.2500  6 Se 3.29
Ba  0.3333  0.6667  0.7500  6 Se 3.29
Ca  0.0000  0.0000  0.5000  6 Se 3.04
Ca  0.0000  0.0000  0.0000  6 Se 3.04
Se  0.3333  0.6667  0.3893  3 Ca 3.04, 3 Ba 3.29
Se  0.6667  0.3333  0.8893  3 Ca 3.04, 3 Ba 3.29
Se  0.6667  0.3333  0.6107  3 Ca 3.04, 3 Ba 3.29
Se  0.3333  0.6667  0.1107  3 Ca 3.04, 3 Ba 3.29

**Energy**: -37.65 eV for the cell shown
**Polymorph energy (0 for the lowest one)**: 18 meV/atom
**Crystal system**: hexagonal

***

- Which of these has the lowest energy?
  BaCaSe2

***

- What is the formula in the second record?
  SrLa2Pd

***

- Which formula does entry 4 have?
  BaCaSe2